# KCuNiBr6 | Alexandria via LeMat-Bulk | GGA-PBE | optimized geometry
data_KCuNiBr6
_chemical_formula_sum 'K1 Cu1 Ni1 Br6'
_cell_length_a 7.2146
_cell_length_b 6.5028
_cell_length_c 7.3352
_cell_angle_alpha 86.72
_cell_angle_beta 83.98
_cell_angle_gamma 56.25
_space_group_name_H-M_alt 'P 1'
_space_group_IT_number 1
loop_
_space_group_symop_operation_xyz
'x,y,z'
loop_
_atom_site_label
_atom_site_fract_x
_atom_site_fract_y
_atom_site_fract_z
_atom_site_occupancy
K1 0.9867 0.0254 0.9995 1
Cu1 0.6737 0.6569 0.5012 1
Ni1 0.3324 0.3351 0.4997 1
Br1 0.0093 0.3628 0.3148 1
Br2 0.3816 0.0052 0.6988 1
Br3 0.6260 0.3656 0.6855 1
Br4 0.0308 0.6231 0.7070 1
Br5 0.3449 0.6220 0.2919 1
Br6 0.6145 0.0039 0.3013 1
# energy relative to the elements, uncorrected: -0.554 eV per atom


# MgTc2Pb | Alexandria via LeMat-Bulk | GGA-PBE | optimized geometry
data_MgTc2Pb
_chemical_formula_sum 'Mg1 Tc2 Pb1'
_cell_length_a 4.5255
_cell_length_b 4.5255
_cell_length_c 3.4397
_cell_angle_alpha 90.00
_cell_angle_beta 90.00
_cell_angle_gamma 90.63
_space_group_name_H-M_alt 'P 1'
_space_group_IT_number 1
loop_
_space_group_symop_operation_xyz
'x,y,z'
loop_
_atom_site_label
_atom_site_fract_x
_atom_site_fract_y
_atom_site_fract_z
_atom_site_occupancy
Mg1 0.5000 0.0000 0.5000 1
Pb1 0.0000 0.5000 0.5000 1
Tc1 0.0000 0.0000 0.0000 1
Tc2 0.5000 0.5000 0.0000 1
# ΔH_f (0 K): 233 kJ/mol of formula units
# polymorph energy (0 for the lowest one): 481 meV/atom


# Pr6Ge3Au | Alexandria via LeMat-Bulk | GGA-PBE | optimized geometry
data_Pr6Ge3Au
_chemical_formula_sum 'Pr12 Ge6 Au2'
_cell_length_a 7.0508
_cell_length_b 8.3037
_cell_length_c 10.6148
_cell_angle_alpha 90.00
_cell_angle_beta 92.05
_cell_angle_gamma 90.00
_space_group_name_H-M_alt 'P 1'
_space_group_IT_number 1
loop_
_space_group_symop_operation_xyz
'x,y,z'
loop_
_atom_site_label
_atom_site_fract_x
_atom_site_fract_y
_atom_site_fract_z
_atom_site_occupancy
Pr1 0.6477 0.1809 0.9254 1
Pr2 0.6605 0.1751 0.5714 1
Pr3 0.6778 0.4333 0.2483 1
Pr4 0.3222 0.5667 0.7517 1
Pr5 0.3395 0.8249 0.4286 1
Pr6 0.3523 0.8191 0.0746 1
Pr7 0.1477 0.3191 0.4254 1
Pr8 0.1605 0.3249 0.0714 1
Pr9 0.1778 0.0667 0.7483 1
Pr10 0.8222 0.9333 0.2517 1
Pr11 0.8395 0.6751 0.9286 1
Pr12 0.8523 0.6809 0.5746 1
Ge1 0.5613 0.8824 0.7422 1
Ge2 0.5000 0.5000 0.0000 1
Ge3 0.4387 0.1176 0.2578 1
Ge4 0.0613 0.6176 0.2422 1
Ge5 0.0000 0.0000 0.5000 1
Ge6 0.9387 0.3824 0.7578 1
Au1 0.5000 0.5000 0.5000 1
Au2 0.0000 0.0000 0.0000 1
# ΔH_f (0 K): -552 kJ/mol of formula units


# InSiRuO | Alexandria via LeMat-Bulk | GGA-PBE | optimized geometry
data_InSiRuO
_chemical_formula_sum 'In1 Si1 Ru1 O1'
_cell_length_a 3.1385
_cell_length_b 4.6774
_cell_length_c 5.2909
_cell_angle_alpha 66.72
_cell_angle_beta 72.38
_cell_angle_gamma 70.20
_space_group_name_H-M_alt 'P 1'
_space_group_IT_number 1
loop_
_space_group_symop_operation_xyz
'x,y,z'
loop_
_atom_site_label
_atom_site_fract_x
_atom_site_fract_y
_atom_site_fract_z
_atom_site_occupancy
In1 0.9222 0.8906 0.3720 1
Si1 0.5278 0.2185 0.8238 1
Ru1 0.2198 0.8186 0.8426 1
O1 0.3252 0.3352 0.1089 1
# polymorph energy (0 for the lowest one): 428 meV/atom
# energy relative to the elements, uncorrected: -0.560 eV per atom